# GGA-PBEsol Y2ScRh2, relaxed
# DOS at the Fermi energy	0.576	states/eV/atom
# DFT formation energy	-0.7035	eV/atom
data_Y2ScRh2
_chemical_formula_sum 'Y4 Sc2 Rh4'
_symmetry_space_group_name_H-M 'P 4/m b m'
_symmetry_Int_Tables_number 127
_symmetry_space_group_name_Hall '-P 4 2ab'
_cell_length_a 7.176
_cell_length_b 7.176
_cell_length_c 4.036
_cell_angle_alpha 90.00
_cell_angle_beta 90.00
_cell_angle_gamma 90.00
loop_
_atom_site_label
_atom_site_type_symbol
_atom_site_fract_x
_atom_site_fract_y
_atom_site_fract_z
Y1 Y 0.168 0.332 0.000
Sc1 Sc 0.000 0.000 0.500
Rh1 Rh 0.138 0.638 0.500

***

# GGA-PBEsol YScRh, relaxed
# DOS at the Fermi energy	0.922	states/eV/atom
# DFT formation energy	0.1360	eV/atom
data_YScRh
_chemical_formula_sum 'Y4 Sc4 Rh4'
_symmetry_space_group_name_H-M 'F -4 3 m'
_symmetry_Int_Tables_number 216
_symmetry_space_group_name_Hall 'F -4 2 3'
_cell_length_a 6.339
_cell_length_b 6.339
_cell_length_c 6.339
_cell_angle_alpha 90.00
_cell_angle_beta 90.00
_cell_angle_gamma 90.00
loop_
_atom_site_label
_atom_site_type_symbol
_atom_site_fract_x
_atom_site_fract_y
_atom_site_fract_z
Y1 Y 0.000 0.000 0.000
Sc1 Sc 0.250 0.250 0.750
Rh1 Rh 0.000 0.000 0.500

***

# GGA-PBEsol YScRh2, relaxed
# DOS at the Fermi energy	0.354	states/eV/atom
# DFT formation energy	-0.8585	eV/atom
data_YScRh2
_chemical_formula_sum 'Y1 Sc1 Rh2'
_symmetry_space_group_name_H-M 'P 4/m m m'
_symmetry_Int_Tables_number 123
_symmetry_space_group_name_Hall '-P 4 2'
_cell_length_a 4.595
_cell_length_b 4.595
_cell_length_c 3.355
_cell_angle_alpha 90.00
_cell_angle_beta 90.00
_cell_angle_gamma 90.00
loop_
_atom_site_label
_atom_site_type_symbol
_atom_site_fract_x
_atom_site_fract_y
_atom_site_fract_z
Y1 Y 0.000 0.000 0.000
Sc1 Sc 0.500 0.500 0.000
Rh1 Rh 0.000 0.500 0.500

***

# GGA-PBEsol Sc2ZnRh, relaxed
# DOS at the Fermi energy	0.678	states/eV/atom
# DFT formation energy	-0.6564	eV/atom
data_Sc2ZnRh
_chemical_formula_sum 'Sc2 Zn1 Rh1'
_symmetry_space_group_name_H-M 'P 4/m m m'
_symmetry_Int_Tables_number 123
_symmetry_space_group_name_Hall '-P 4 2'
_cell_length_a 4.578
_cell_length_b 4.578
_cell_length_c 3.229
_cell_angle_alpha 90.00
_cell_angle_beta 90.00
_cell_angle_gamma 90.00
loop_
_atom_site_label
_atom_site_type_symbol
_atom_site_fract_x
_atom_site_fract_y
_atom_site_fract_z
Sc1 Sc 0.000 0.500 0.000
Zn1 Zn 0.000 0.000 0.500
Rh1 Rh 0.500 0.500 0.500

***

# GGA-PBEsol ScZn2Rh2, relaxed
# DOS at the Fermi energy	0.308	states/eV/atom
# DFT formation energy	-0.5519	eV/atom
data_ScZn2Rh2
_chemical_formula_sum 'Sc2 Zn4 Rh4'
_symmetry_space_group_name_H-M 'P 4/m b m'
_symmetry_Int_Tables_number 127
_symmetry_space_group_name_Hall '-P 4 2ab'
_cell_length_a 7.003
_cell_length_b 7.003
_cell_length_c 2.983
_cell_angle_alpha 90.00
_cell_angle_beta 90.00
_cell_angle_gamma 90.00
loop_
_atom_site_label
_atom_site_type_symbol
_atom_site_fract_x
_atom_site_fract_y
_atom_site_fract_z
Sc1 Sc 0.000 0.000 0.000
Zn1 Zn 0.122 0.378 0.000
Rh1 Rh 0.176 0.676 0.500

***

# GGA-PBEsol ScZnRh, relaxed
# DOS at the Fermi energy	0.587	states/eV/atom
# DFT formation energy	-0.6437	eV/atom
data_ScZnRh
_chemical_formula_sum 'Sc2 Zn2 Rh2'
_symmetry_space_group_name_H-M 'I 4 m m'
_symmetry_Int_Tables_number 107
_symmetry_space_group_name_Hall 'I 4 -2'
_cell_length_a 3.247
_cell_length_b 3.247
_cell_length_c 8.833
_cell_angle_alpha 90.00
_cell_angle_beta 90.00
_cell_angle_gamma 90.00
loop_
_atom_site_label
_atom_site_type_symbol
_atom_site_fract_x
_atom_site_fract_y
_atom_site_fract_z
Sc1 Sc 0.000 0.000 0.000
Zn1 Zn 0.000 0.000 0.315
Rh1 Rh 0.000 0.000 0.662

***

# GGA-PBEsol Sc2ZnRh, relaxed
# DOS at the Fermi energy	0.678	states/eV/atom
# DFT formation energy	-0.4939	eV/atom
data_Sc2ZnRh
_chemical_formula_sum 'Sc8 Zn4 Rh4'
_symmetry_space_group_name_H-M 'F -4 3 m'
_symmetry_Int_Tables_number 216
_symmetry_space_group_name_Hall 'F -4 2 3'
_cell_length_a 6.363
_cell_length_b 6.363
_cell_length_c 6.363
_cell_angle_alpha 90.00
_cell_angle_beta 90.00
_cell_angle_gamma 90.00
loop_
_atom_site_label
_atom_site_type_symbol
_atom_site_fract_x
_atom_site_fract_y
_atom_site_fract_z
Sc1 Sc 0.000 0.000 0.000
Sc2 Sc 0.250 0.250 0.250
Zn1 Zn 0.000 0.000 0.500
Rh1 Rh 0.250 0.250 0.750

***

# GGA-PBEsol Sc2ZnRh, relaxed
# DOS at the Fermi energy	0.871	states/eV/atom
# DFT formation energy	-0.5041	eV/atom
data_Sc2ZnRh
_chemical_formula_sum 'Sc4 Zn2 Rh2'
_symmetry_space_group_name_H-M 'I m m 2'
_symmetry_Int_Tables_number 44
_symmetry_space_group_name_Hall 'I 2 -2'
_cell_length_a 3.280
_cell_length_b 4.427
_cell_length_c 9.531
_cell_angle_alpha 90.00
_cell_angle_beta 90.00
_cell_angle_gamma 90.00
loop_
_atom_site_label
_atom_site_type_symbol
_atom_site_fract_x
_atom_site_fract_y
_atom_site_fract_z
Sc1 Sc 0.000 0.000 0.000
Sc2 Sc 0.000 0.500 0.218
Zn1 Zn 0.000 0.500 0.771
Rh1 Rh 0.000 0.000 0.489

***

The following theoretical density values (in g/cm³) correspond, in order, to the records above: 6.85, 6.17, 7.96, 6.34, 8.66, 7.61, 6.66, 6.20.